# 1
ZnNiGeRh | GGA-PBE | relaxed

The total energy comes out at -5.071 eV per atom. The calculation puts the spin magnetization at 0.0002 μB per atom.

The structure belongs to space group F-43m (No. 216); the cell edges are 5.9668, 5.9668 and 5.9668 Å and the angles 90.00°, 90.00° and 90.00°. Symmetry generates all atoms from Zn at (0.0000, 0.0000, 0.0000), Ni at (0.2500, 0.2500, 0.2500), Ge at (0.0000, 0.0000, 0.5000) and Rh at (0.2500, 0.2500, 0.7500).

***

# 2
ZnNiGeRh | GGA-PBE | relaxed

The total energy comes out at -5.087 eV per atom. The calculation puts the spin magnetization at 0.0000 μB per atom.

The structure belongs to space group I-4m2 (No. 119); the cell edges are 3.9506, 3.9506 and 6.8129 Å and the angles 90.00°, 90.00° and 90.00°. Symmetry generates all atoms from Zn at (0.0000, 0.0000, 0.0000), Ni at (0.0000, 0.5000, 0.2500), Ge at (0.0000, 0.0000, 0.5000) and Rh at (0.0000, 0.5000, 0.7500).

***

# 3
Ni3GeRu | GGA-PBE | relaxed

The total energy comes out at -4.990 eV per atom. The calculation puts the spin magnetization at 0.0006 μB per atom.

The structure belongs to space group Pm-3m (No. 221); the cell edges are 4.4796, 4.4796 and 4.4796 Å and the angles 90.00°, 90.00° and 90.00°. Symmetry generates all atoms from Ni at (0.0000, 0.0000, 0.5000), Ge at (0.5000, 0.5000, 0.5000) and Ru at (0.0000, 0.0000, 0.0000).

***

# 4
Ni5Ge6Ru | GGA-PBE | relaxed

The total energy comes out at -5.575 eV per atom. The calculation puts the spin magnetization at 0.0000 μB per atom.

The structure belongs to space group C2/m (No. 12); the cell edges are 7.7825, 8.5911 and 5.0110 Å and the angles 90.00°, 102.40° and 90.00°. Symmetry generates all atoms from Ni at (0.0000, 0.0000, 0.0000), Ni at (0.0000, 0.1639, 0.5000), Ni at (0.0000, 0.3320, 0.0000), Ge at (0.2471, 0.0000, 0.7545), Ge at (0.2470, 0.1689, 0.2486) and Ru at (0.0000, 0.5000, 0.5000).

***

# 5
Ni3GeRu | GGA-PBE | relaxed

The total energy comes out at -5.298 eV per atom. The calculation puts the spin magnetization at 0.6457 μB per atom.

The structure belongs to space group Pm-3m (No. 221); the cell edges are 4.2705, 4.2705 and 4.2705 Å and the angles 90.00°, 90.00° and 90.00°. Symmetry generates all atoms from Ni at (0.0000, 0.0000, 0.5000), Ge at (0.0000, 0.0000, 0.0000) and Ru at (0.5000, 0.5000, 0.5000).

***

# 6
NiGe2Ru | GGA-PBE | relaxed

The total energy comes out at -5.884 eV per atom. The calculation puts the spin magnetization at 0.1262 μB per atom.

The structure belongs to space group R-3m (No. 166, hexagonal axes); the cell edges are 2.8398, 2.8398 and 25.8263 Å and the angles 90.00°, 90.00° and 120.00°. Symmetry generates all atoms from Ni at (0.0000, 0.0000, 0.0000), Ge at (0.0000, 0.0000, 0.4051) and Ru at (0.0000, 0.0000, 0.5000).